Record 1
## ReBN2 (PBE-GGA)

Data for ReBN2 after structural relaxation.

* DOS(E_F): 3.76 states/eV/cell
* formation energy from raw total energies: 33 meV per atom

Unit cell a=2.8679 b=2.8679 c=16.2962 alpha=90.00 beta=90.00 gamma=120.00
Space group R-3m (No. 166, hexagonal axes)
Inequivalent atoms, fractional coordinates:
Re  0.0000  0.0000  0.0000 [3 per cell]
B  0.0000  0.0000  0.5000 [3 per cell]
N  0.0000  0.0000  0.4169 [6 per cell]

=====

Record 2
## LiCuTePd (PBE-GGA)

Data for LiCuTePd after structural relaxation.

* DOS(E_F): 3.49 states/eV/cell
* formation energy from raw total energies: -309 meV per atom

Unit cell a=6.4281 b=6.4281 c=6.4281 alpha=90.00 beta=90.00 gamma=90.00
Space group F-43m (No. 216)
Inequivalent atoms, fractional coordinates:
Li  0.0000  0.0000  0.0000 [4 per cell]
Cu  0.2500  0.2500  0.2500 [4 per cell]
Te  0.0000  0.0000  0.5000 [4 per cell]
Pd  0.2500  0.2500  0.7500 [4 per cell]

=====

Record 3
## SmHo4Sc8 (PBE-GGA)

Data for SmHo4Sc8 after structural relaxation.

* ΔH_f (0 K): 0.60 eV/atom
* DOS(E_F): 73.40 states/eV/cell

Unit cell a=10.4445 b=10.4445 c=12.7552 alpha=90.00 beta=90.00 gamma=120.00
Space group R-3m (No. 166, hexagonal axes)
Inequivalent atoms, fractional coordinates:
Sm  0.0000  0.0000  0.0000 [3 per cell]
Ho  0.0000  0.0000  0.5000 [3 per cell]
Ho  0.0000  0.5000  0.5000 [9 per cell]
Sc  0.0000  0.0000  0.2610 [6 per cell]
Sc  0.0144  0.5072  0.2457 [18 per cell]